The following is a PBE calculation of BaAcTlSn after structural relaxation, from the Alexandria database.

Summary:
E	-3.62	eV/atom

Cell: 5.0586 4.7786 6.8702 Å, 90.00 111.60 90.00°
Last column: nearest neighbours and their distance in Å.
Fractional coordinates of all 4 atoms:
Ba  0.1388  0.0000  0.2777  4 Tl 3.57, 3 Sn 3.57-3.78
Ac  0.8665  0.5000  0.7330  4 Sn 3.54, 3 Tl 3.68-3.71
Tl  0.5760  0.5000  0.1519  2 Sn 3.12
Sn  0.4187  0.0000  0.8374  2 Tl 3.12


The following is a PBE calculation of BaAcZnSn after structural relaxation, from the Alexandria database.

Summary:
E	-3.22	eV/atom

Cell: 5.7923 5.7923 5.7923 Å, 60.00 60.00 60.00°
Last column: nearest neighbours and their distance in Å.
Fractional coordinates of all 4 atoms:
Zn  0.2500  0.2500  0.2500  4 Ba 3.55, 4 Ac 3.55
Ac  0.0000  0.0000  0.0000  4 Sn 3.55, 4 Zn 3.55
Ba  0.5000  0.5000  0.5000  4 Sn 3.55, 4 Zn 3.55
Sn  0.7500  0.7500  0.7500  4 Ba 3.55, 4 Ac 3.55


The following is a PBE calculation of BaAc2Zn2Sn2 after structural relaxation, from the Alexandria database.

Summary:
E	-3.35	eV/atom

Cell: 4.6012 4.6012 13.4767 Å, 80.17 80.17 60.00°
Last column: nearest neighbours and their distance in Å.
Fractional coordinates of all 7 atoms:
Ba  0.0000  0.0000  0.0000  6 Sn 3.64, 6 Zn 3.93
Ac  0.1230  0.1230  0.6309  3 Zn 3.31, 3 Sn 3.57
Ac  0.8770  0.8770  0.3691  3 Zn 3.31, 3 Sn 3.57
Zn  0.5935  0.5935  0.2196  3 Sn 2.69
Zn  0.4065  0.4065  0.7804  3 Sn 2.69
Sn  0.7296  0.7296  0.8113  3 Zn 2.69
Sn  0.2704  0.2704  0.1887  3 Zn 2.69


The following is a PBE calculation of Ba6SrAc after structural relaxation, from the Alexandria database.

Summary:
E	-2.06	eV/atom

Cell: 11.0725 11.0767 7.8295 Å, 44.97 45.04 60.01°
Last column: nearest neighbours and their distance in Å.
Fractional coordinates of all 8 atoms:
Ba  0.0001  0.4994  0.7453  2 Ba 3.83-4.00
Ba  0.7552  0.0003  0.7442  2 Ba 3.84-4.00
Ba  0.5004  0.2448  0.2549  2 Ba 3.83-4.00
Ba  0.2448  0.9997  0.2558  2 Ba 3.84-4.00
Ba  0.9999  0.5006  0.2547  2 Ba 3.83-4.00
Ba  0.4996  0.7552  0.7451  2 Ba 3.83-4.00
Sr  0.5000  0.5000  0.5000  12 Ba 4.39-4.40
Ac  0.0000  0.0000  0.0000  12 Ba 4.36


Number 1: energy of formation -0.5215 eV per atom, magnetization 0.00 μB per formula unit. Number 2: energy of formation -0.3972 eV per atom, magnetization 0.00 μB per formula unit. Number 3: energy of formation -0.3945 eV per atom, magnetization 0.91 μB per formula unit. Number 4: energy of formation 0.1090 eV per atom, magnetization 1.17 μB per formula unit.